Here is an optimized crystal structure of Co2BiSbO8 from Alexandria. Energies are from PBE with a Hubbard U.

abc: 5.7506 5.7506 6.4271
angles: 90.00 90.00 120.00
With the nearest neighbours (Å) after each atom.
Sites, in units of the cell vectors:
1 O 0.1459 0.3050 0.7044  1 Co 1.85, 1 Sb 2.01
2 O 0.6950 0.8410 0.7044  1 Co 1.85, 1 Sb 2.01
3 Bi 0.0000 0.0000 0.0000  6 O 2.43
4 O 0.3050 0.1590 0.2956  1 Co 1.85, 1 Sb 2.01
5 Co 0.3333 0.6667 0.7671  4 O 1.70-1.85
6 O 0.1590 0.8541 0.7044  1 Co 1.85, 1 Sb 2.01
7 O 0.6667 0.3333 0.9680  1 Co 1.70
8 Co 0.6667 0.3333 0.2329  4 O 1.70-1.85
9 O 0.3333 0.6667 0.0320  1 Co 1.70
10 Sb 0.0000 0.0000 0.5000  6 O 2.01
11 O 0.8410 0.1459 0.2956  1 Co 1.85, 1 Sb 2.01
12 O 0.8541 0.6950 0.2956  1 Co 1.85, 1 Sb 2.01

Calculated values
DFT total energy	-5.627	eV per atom
total magnetization	10.0	μB/f.u.
SG	P-3, No. 147